# PBE ZnIr2Au, optimized geometry
# Space-group type: I-4m2
# DFT formation energy: 0.7 eV/f.u.
data_ZnIr2Au
_chemical_formula_sum 'Zn1 Ir2 Au1'
_cell_length_a 4.776
_cell_length_b 4.776
_cell_length_c 4.776
_cell_angle_alpha 130.84
_cell_angle_beta 130.84
_cell_angle_gamma 72.06
_space_group_name_H-M_alt 'P 1'
_space_group_IT_number 1
loop_
_space_group_symop_operation_xyz
'x,y,z'
loop_
_atom_site_label
_atom_site_fract_x
_atom_site_fract_y
_atom_site_fract_z
Zn1 0.000 0.000 0.000
Ir1 0.500 0.500 0.000
Ir2 0.750 0.250 0.500
Au1 0.250 0.750 0.500